Record 1
Entry from the Alexandria database: a geometry-optimized TlAs2Rh2 structure (PBE).

density of states at the Fermi level = 3.03 states/eV per cell
symmetry = I4/mmm, No. 139
relative energy among the computed polymorphs = 28.67 kJ per mole of atoms
M_tot = 0.000 μB per formula unit
E = -26.79 eV for the cell shown
formation energy from the elements = -84 meV/atom

Structure (POSCAR):
```
TlAs2Rh2
1.0
4.258 0.000 0.000
0.000 4.258 0.000
2.129 2.129 5.471
Tl Rh As
1 2 2
Direct
0.000 0.000 0.000
0.369 0.369 0.263
0.631 0.631 0.737
0.750 0.250 0.500
0.250 0.750 0.500
```



Record 2
Entry from the Alexandria database: a geometry-optimized ErAgBiRh structure (PBE).

density of states at the Fermi level = 2.72 states/eV per cell
symmetry = F-43m, No. 216
M_tot = 0.000 μB per formula unit
E = -20.19 eV for the cell shown
formation energy from the elements = -386 meV/atom

Structure (POSCAR):
```
ErAgBiRh
1.0
-3.673 0.140 -3.268
-2.078 -4.182 -1.544
-4.578 -1.132 1.396
Rh Bi Ag Er
1 1 1 1
Direct
0.750 0.750 0.750
0.000 0.000 0.000
0.250 0.250 0.250
0.500 0.500 0.500
```



Record 3
Entry from the Alexandria database: a geometry-optimized Nb2CdOs structure (PBE).

density of states at the Fermi level = 4.48 states/eV per cell
symmetry = R-3m, No. 166
M_tot = 0.000 μB per formula unit
E = -30.83 eV for the cell shown
formation energy from the elements = 363 meV/atom

Structure (POSCAR):
```
Nb2CdOs
1.0
2.860 0.000 0.000
1.430 2.477 0.000
1.430 0.826 10.610
Nb Os Cd
2 1 1
Direct
0.096 0.096 0.713
0.904 0.904 0.287
0.500 0.500 0.500
0.000 0.000 0.000
```



Record 4
Entry from the Alexandria database: a geometry-optimized Mn6NiPt5 structure (PBE).

density of states at the Fermi level = 4.84 states/eV per cell
symmetry = C2/m, No. 12
M_tot = 26.452 μB per formula unit
E = -94.56 eV for the cell shown
formation energy from the elements = -296 meV/atom

Structure (POSCAR):
```
Mn6NiPt5
1.0
-0.955 -3.628 1.761
7.366 0.627 0.397
-3.692 5.183 3.785
Ni Mn Pt
1 6 5
Direct
0.000 0.000 0.000
0.245 0.081 0.410
0.755 0.590 0.919
0.741 0.241 0.241
0.259 0.759 0.759
0.245 0.410 0.081
0.755 0.919 0.590
0.500 0.166 0.834
0.000 0.334 0.666
0.500 0.500 0.500
0.000 0.666 0.334
0.500 0.834 0.166
```



Record 5
Entry from the Alexandria database: a geometry-optimized ScTaTc structure (PBE).

density of states at the Fermi level = 3.19 states/eV per cell
symmetry = I4mm, No. 107
relative energy among the computed polymorphs = 0.00 kJ per mole of atoms
M_tot = 0.000 μB per formula unit
E = -29.17 eV for the cell shown
formation energy from the elements = -207 meV/atom

Structure (POSCAR):
```
ScTaTc
1.0
5.642 0.000 0.000
3.776 4.193 0.000
-4.709 -2.097 2.295
Sc Ta Tc
1 1 1
Direct
0.010 0.010 0.000
0.311 0.311 0.000
0.680 0.680 0.000
```



Record 6
Entry from the Alexandria database: a geometry-optimized ScBeNb structure (PBE).

density of states at the Fermi level = 4.75 states/eV per cell
symmetry = P-1, No. 2
relative energy among the computed polymorphs = 4.31 kJ per mole of atoms
M_tot = 0.000 μB per formula unit
E = -40.03 eV for the cell shown
formation energy from the elements = 37 meV/atom

Structure (POSCAR):
```
ScBeNb
1.0
-0.919 -2.670 0.756
0.256 -1.569 -5.670
5.870 -0.115 1.800
Sc Be Nb
2 2 2
Direct
0.848 0.930 0.223
0.152 0.070 0.777
0.500 0.306 0.498
0.500 0.694 0.502
0.129 0.577 0.811
0.871 0.423 0.189
```



Record 7
Entry from the Alexandria database: a geometry-optimized CaCeTm2Tl4 structure (PBE).

density of states at the Fermi level = 10.52 states/eV per cell
symmetry = R-3m, No. 166
M_tot = 1.006 μB per formula unit
E = -28.80 eV for the cell shown
formation energy from the elements = -307 meV/atom

Structure (POSCAR):
```
CaCeTm2Tl4
1.0
5.389 0.000 0.000
2.694 4.667 0.000
2.694 1.556 8.924
Ca Ce Tm Tl
1 1 2 4
Direct
0.000 0.000 0.000
0.500 0.500 0.500
0.748 0.748 0.756
0.252 0.252 0.244
0.375 0.375 0.876
0.875 0.875 0.374
0.125 0.125 0.626
0.625 0.625 0.124
```



Record 8
Entry from the Alexandria database: a geometry-optimized Tb4Te3Pd structure (PBE).

density of states at the Fermi level = 5.29 states/eV per cell
symmetry = Cmmm, No. 65
M_tot = 0.000 μB per formula unit
E = -42.66 eV for the cell shown

Structure (POSCAR):
```
Tb4Te3Pd
1.0
-1.662 3.881 -0.028
-6.948 -2.971 0.624
2.736 1.222 6.965
Te Tb Pd
3 4 1
Direct
0.000 0.000 0.500
0.500 0.500 0.500
0.000 0.500 0.000
0.000 0.218 0.218
0.500 0.760 0.240
0.000 0.782 0.782
0.500 0.240 0.760
0.500 0.000 0.000
```